Record 1
! GGA-PBEsol NbTcIr2I, optimized geometry; values from VASP
&SYSTEM
  ibrav = 0, nat = 5, ntyp = 4
/
ATOMIC_SPECIES
Nb 92.91 Nb.upf
Tc 98.00 Tc.upf
Ir 192.22 Ir.upf
I 126.90 I.upf
CELL_PARAMETERS angstrom
4.760 0.000 0.000
0.000 4.807 0.000
0.000 0.000 4.807
ATOMIC_POSITIONS crystal
Nb 0.000 0.000 0.000
Tc 0.500 0.000 0.000
Ir 0.000 0.500 0.000
Ir 0.000 0.000 0.500
I 0.500 0.500 0.500
! ΔE_f (raw) = 1.865 eV/atom
! calculated volume = 110.0 Å³ per cell

=====

Record 2
! GGA-PBEsol Mg2PbSe, optimized geometry; values from VASP
&SYSTEM
  ibrav = 0, nat = 4, ntyp = 3
/
ATOMIC_SPECIES
Se 78.96 Se.upf
Mg 24.30 Mg.upf
Pb 207.20 Pb.upf
CELL_PARAMETERS angstrom
-2.958 -1.150 -1.972
-2.490 -2.319 1.546
-5.846 4.861 2.393
ATOMIC_POSITIONS crystal
Se 0.000 0.000 0.000
Mg 0.264 0.264 0.209
Mg 0.736 0.736 0.791
Pb 0.500 0.500 0.500
! ΔE_f (raw) = -0.624 eV/atom
! calculated volume = 92.8 Å³ per cell

=====

Record 3
! GGA-PBEsol KZr2Tl, optimized geometry; values from VASP
&SYSTEM
  ibrav = 0, nat = 4, ntyp = 3
/
ATOMIC_SPECIES
Zr 91.22 Zr.upf
Tl 204.38 Tl.upf
K 39.10 K.upf
CELL_PARAMETERS angstrom
-2.943 -0.207 -0.190
0.482 -6.107 -0.820
-0.521 2.105 5.788
ATOMIC_POSITIONS crystal
Zr 0.000 0.000 0.500
Zr 0.000 0.500 0.000
Tl 0.500 0.500 0.500
K 0.500 0.000 0.000
! E_form = 0.67 eV/atom
! calculated volume = 99.8 Å³ per cell

=====

Record 4
! GGA-PBEsol ZnAs2, optimized geometry; values from VASP
&SYSTEM
  ibrav = 0, nat = 24, ntyp = 2
/
ATOMIC_SPECIES
As 74.92 As.upf
Zn 65.41 Zn.upf
CELL_PARAMETERS angstrom
-7.062 2.727 -1.170
1.000 -0.796 -7.892
-3.556 -8.179 2.404
ATOMIC_POSITIONS crystal
As 0.507 0.438 0.244
As 0.488 0.068 0.762
As 0.577 0.220 0.386
As 0.256 0.608 0.934
As 0.077 0.280 0.614
As 0.744 0.392 0.066
As 0.988 0.432 0.238
As 0.512 0.932 0.238
As 0.993 0.938 0.244
As 0.007 0.062 0.756
As 0.423 0.780 0.614
As 0.012 0.568 0.762
As 0.756 0.892 0.066
As 0.923 0.720 0.386
As 0.244 0.108 0.934
As 0.493 0.562 0.756
Zn 0.249 0.895 0.082
Zn 0.749 0.605 0.918
Zn 0.400 0.276 0.611
Zn 0.751 0.105 0.918
Zn 0.900 0.224 0.389
Zn 0.100 0.776 0.611
Zn 0.600 0.724 0.389
Zn 0.251 0.395 0.082
! E_form = -0.11 eV/atom
! calculated volume = 552.3 Å³ per cell

=====

Record 5
! GGA-PBEsol Sb5Rh3, optimized geometry; values from VASP
&SYSTEM
  ibrav = 0, nat = 8, ntyp = 2
/
ATOMIC_SPECIES
Rh 102.91 Rh.upf
Sb 121.76 Sb.upf
CELL_PARAMETERS angstrom
-1.973 -0.017 -3.834
5.687 0.015 -2.926
-1.961 -5.999 1.036
ATOMIC_POSITIONS crystal
Rh 0.000 0.500 0.500
Rh 0.500 0.694 0.306
Rh 0.500 0.306 0.694
Sb 0.000 0.000 0.000
Sb 0.000 0.000 0.500
Sb 0.000 0.500 0.000
Sb 0.500 0.281 0.281
Sb 0.500 0.719 0.719
! ΔE_f (raw) = -0.016 eV/atom
! calculated volume = 165.3 Å³ per cell

=====

Record 6
! GGA-PBEsol Sr2SmNbCu2O8, optimized geometry; values from VASP
&SYSTEM
  ibrav = 0, nat = 28, ntyp = 5
/
ATOMIC_SPECIES
Nb 92.91 Nb.upf
Sr 87.62 Sr.upf
Sm 150.36 Sm.upf
Cu 63.55 Cu.upf
O 16.00 O.upf
CELL_PARAMETERS angstrom
5.451 0.000 0.000
0.000 5.451 0.000
-2.726 -2.726 11.586
ATOMIC_POSITIONS crystal
Nb 0.500 0.500 0.000
Nb 0.000 0.000 0.000
Sr 0.100 0.600 0.201
Sr 0.400 0.900 0.799
Sr 0.900 0.400 0.799
Sr 0.600 0.100 0.201
Sm 0.250 0.750 0.500
Sm 0.750 0.250 0.500
Cu 0.320 0.320 0.639
Cu 0.180 0.180 0.361
Cu 0.680 0.680 0.361
Cu 0.820 0.820 0.639
O 0.177 0.677 0.000
O 0.085 0.085 0.170
O 0.066 0.566 0.629
O 0.585 0.585 0.170
O 0.934 0.434 0.371
O 0.323 0.177 0.000
O 0.937 0.934 0.371
O 0.563 0.063 0.629
O 0.566 0.563 0.629
O 0.063 0.066 0.629
O 0.437 0.937 0.371
O 0.415 0.415 0.830
O 0.434 0.437 0.371
O 0.823 0.323 0.000
O 0.677 0.823 0.000
O 0.915 0.915 0.830
! ΔE_f (raw) = -2.352 eV/atom
! calculated volume = 344.3 Å³ per cell

=====

Record 7
! GGA-PBEsol Ga2Ag2Pb, optimized geometry; values from VASP
&SYSTEM
  ibrav = 0, nat = 10, ntyp = 3
/
ATOMIC_SPECIES
Ga 69.72 Ga.upf
Pb 207.20 Pb.upf
Ag 107.87 Ag.upf
CELL_PARAMETERS angstrom
-0.436 2.745 -1.389
-2.422 -3.707 -6.566
-7.458 0.161 2.660
ATOMIC_POSITIONS crystal
Ga 0.500 0.670 0.830
Ga 0.500 0.170 0.670
Ga 0.500 0.330 0.170
Ga 0.500 0.830 0.330
Pb 0.000 0.500 0.500
Pb 0.000 0.000 0.000
Ag 0.000 0.127 0.373
Ag 0.000 0.373 0.873
Ag 0.000 0.627 0.127
Ag 0.000 0.873 0.627
! E_form = 0.06 eV/atom
! calculated volume = 194.9 Å³ per cell

=====

Record 8
! GGA-PBEsol Be2CuAu, optimized geometry; values from VASP
&SYSTEM
  ibrav = 0, nat = 4, ntyp = 3
/
ATOMIC_SPECIES
Be 9.01 Be.upf
Cu 63.55 Cu.upf
Au 196.97 Au.upf
CELL_PARAMETERS angstrom
-1.777 1.671 -1.352
0.601 -2.090 -3.372
-2.333 -2.584 2.747
ATOMIC_POSITIONS crystal
Be 0.741 0.285 0.482
Be 0.009 0.972 0.019
Cu 0.487 0.444 0.973
Au 0.263 0.799 0.525
! E_form = -0.10 eV/atom
! calculated volume = 44.8 Å³ per cell

=====

Record 9
! GGA-PBEsol LiIn2Rh, optimized geometry; values from VASP
&SYSTEM
  ibrav = 0, nat = 4, ntyp = 3
/
ATOMIC_SPECIES
Li 6.94 Li.upf
Rh 102.91 Rh.upf
In 114.82 In.upf
CELL_PARAMETERS angstrom
-4.116 1.230 -1.480
-3.723 -1.775 1.906
-2.672 2.589 2.608
ATOMIC_POSITIONS crystal
Li 0.000 0.000 0.000
Rh 0.500 0.500 0.500
In 0.250 0.250 0.250
In 0.750 0.750 0.750
! E_form = -0.44 eV/atom
! calculated volume = 66.3 Å³ per cell

=====

Record 10
! GGA-PBEsol Lu2CoTe2S2O14, optimized geometry; values from VASP
&SYSTEM
  ibrav = 0, nat = 21, ntyp = 5
/
ATOMIC_SPECIES
Te 127.60 Te.upf
O 16.00 O.upf
Lu 174.97 Lu.upf
Co 58.93 Co.upf
S 32.06 S.upf
CELL_PARAMETERS angstrom
-4.321 -0.370 -3.227
-3.497 -2.758 6.562
2.005 7.582 0.427
ATOMIC_POSITIONS crystal
Te 0.127 0.756 0.133
Te 0.873 0.244 0.867
O 0.556 0.723 0.925
O 0.115 0.922 0.385
O 0.545 0.299 0.760
O 0.708 0.480 0.434
O 0.292 0.520 0.566
O 0.209 0.822 0.736
O 0.370 0.180 0.312
O 0.791 0.178 0.264
O 0.885 0.078 0.615
O 0.630 0.820 0.688
O 0.097 0.437 0.847
O 0.444 0.277 0.075
O 0.455 0.701 0.240
O 0.903 0.563 0.153
Lu 0.843 0.771 0.473
Lu 0.157 0.229 0.527
Co 0.500 0.500 0.000
S 0.578 0.281 0.272
S 0.422 0.719 0.728
! ΔE_f (raw) = -1.876 eV/atom
! calculated volume = 282.4 Å³ per cell

=====

Record 11
! GGA-PBEsol Nb2TcGe2, optimized geometry; values from VASP
&SYSTEM
  ibrav = 0, nat = 10, ntyp = 3
/
ATOMIC_SPECIES
Nb 92.91 Nb.upf
Ge 72.64 Ge.upf
Tc 98.00 Tc.upf
CELL_PARAMETERS angstrom
-1.625 0.289 -3.267
1.714 -6.177 -1.398
-5.624 -2.150 2.607
ATOMIC_POSITIONS crystal
Nb 0.500 0.666 0.834
Nb 0.500 0.834 0.334
Nb 0.500 0.334 0.166
Nb 0.500 0.166 0.666
Ge 0.000 0.362 0.862
Ge 0.000 0.862 0.638
Ge 0.000 0.138 0.362
Ge 0.000 0.638 0.138
Tc 0.000 0.000 0.000
Tc 0.000 0.500 0.500
! E_form = -0.31 eV/atom
! calculated volume = 157.6 Å³ per cell

=====

Record 12
! GGA-PBEsol P2OsRu, optimized geometry; values from VASP
&SYSTEM
  ibrav = 0, nat = 4, ntyp = 3
/
ATOMIC_SPECIES
Os 190.23 Os.upf
P 30.97 P.upf
Ru 101.07 Ru.upf
CELL_PARAMETERS angstrom
-2.574 0.107 -1.435
-2.039 -1.309 3.560
1.227 4.060 1.132
ATOMIC_POSITIONS crystal
Os 0.261 0.825 0.522
P 0.756 0.318 0.512
P 0.995 0.950 0.990
Ru 0.488 0.408 0.976
! E_form = -0.24 eV/atom
! calculated volume = 51.3 Å³ per cell

=====

Which value of calculated volume does entry 7 give?
194.9 Å³ per cell

=====

What is the calculated volume in the fifth record?
165.3 Å³ per cell